# Co2AsO, relaxed, DFT GGA+U
# * volume: 43.7 Å³/f.u.
# * E: -4.467 eV per atom
data_Co2AsO
_cell_length_a 5.591
_cell_length_b 5.591
_cell_length_c 5.591
_cell_angle_alpha 90.00
_cell_angle_beta 90.00
_cell_angle_gamma 90.00
_symmetry_space_group_name_H-M 'F m -3 m'
_symmetry_Int_Tables_number 225
_symmetry_space_group_name_Hall '-F 4 2 3'
loop_
_atom_site_label
_atom_site_type_symbol
_atom_site_fract_x
_atom_site_fract_y
_atom_site_fract_z
Co1 Co 0.250 0.250 0.250
As1 As 0.000 0.000 0.000
O1 O 0.000 0.000 0.500